Here is a relaxed TlIn2Au crystal from the Alexandria database. Energies are from PBE-GGA.

Cell lengths 7.3929, 7.3929, 7.3929 Å; angles 90.00, 90.00, 90.00 degrees
Last column: nearest neighbours and their distance in Å.
Space group Fm-3m (No. 225)
One atom of each set of equivalent atoms:
Tl 0.0000 0.0000 0.0000 (multiplicity 4)  8 In 3.20
In 0.2500 0.2500 0.2500 (multiplicity 8)  4 Tl 3.20, 4 Au 3.20
Au 0.0000 0.0000 0.5000 (multiplicity 4)  8 In 3.20

Results
Energy above the most stable polymorph in this dataset in meV/atom: 152
Crystal system: cubic